## ReAgBr3 (PBE)

Data for an optimized crystal structure of ReAgBr3.

Results
Spin magnetization (Bohr magnetons per cell): 5.9
Density (g/cm³): 5.8
Energy (eV/atom): -3.0190
Energy relative to the elements, uncorrected (eV/atom): 1.045

Lattice parameters (Å, degrees): 5.333 5.333 5.333 90.00 90.00 90.00
Space group Pm-3m (No. 221)
Unique sites:
Re  0.000  0.000  0.000 x1
Ag  0.500  0.500  0.500 x1
Br  0.000  0.500  0.500 x3

## Sc2Zn2Ga (PBE)

Data for an optimized crystal structure of Sc2Zn2Ga.

Results
Spin magnetization (Bohr magnetons per cell): 0.0
Density (g/cm³): 5.2
Energy (eV/atom): -4.0449
DFT formation energy (eV/atom): -0.397

Lattice parameters (Å, degrees): 6.713 6.713 4.110 90.00 90.00 90.00
Space group P4/mbm (No. 127)
Unique sites:
Sc  0.170  0.330  0.000 x4
Zn  0.130  0.630  0.500 x4
Ga  0.000  0.000  0.500 x2

## SrUMnN4 (PBE)

Data for an optimized crystal structure of SrUMnN4.

Results
Spin magnetization (Bohr magnetons per cell): 6.0
Density (g/cm³): 7.0
Energy (eV/atom): -8.7248
Energy relative to the elements, uncorrected (eV/atom): -0.805

Lattice parameters (Å, degrees): 5.661 5.429 7.112 90.00 107.64 90.00
Space group P2_1/m (No. 11)
Unique sites:
Sr  0.198  0.250  0.420 x2
U  0.267  0.250  0.942 x2
Mn  0.274  0.750  0.183 x2
N  0.049  0.750  0.321 x2
N  0.059  0.750  0.944 x2
N  0.481  0.504  0.197 x4

## Mg2Si3 (PBE)

Data for an optimized crystal structure of Mg2Si3.

Results
Spin magnetization (Bohr magnetons per cell): 0.0
Density (g/cm³): 2.4
Energy (eV/atom): -3.7818
Energy relative to the elements, uncorrected (eV/atom): 0.110

Lattice parameters (Å, degrees): 11.601 3.567 17.905 90.00 94.29 90.00
Space group Cm (No. 8)
Unique sites:
Mg  0.000  0.000  0.000 x2
Mg  0.027  0.500  0.249 x2
Mg  0.124  0.000  0.855 x2
Mg  0.152  0.500  0.108 x2
Mg  0.267  0.000  0.507 x2
Mg  0.302  0.500  0.768 x2
Mg  0.364  0.500  0.352 x2
Mg  0.424  0.500  0.620 x2
Si  0.021  0.500  0.526 x2
Si  0.047  0.500  0.398 x2
Si  0.133  0.000  0.704 x2
Si  0.170  0.000  0.364 x2
Si  0.187  0.500  0.614 x2
Si  0.220  0.000  0.233 x2
Si  0.243  0.000  0.006 x2
Si  0.291  0.500  0.918 x2
Si  0.359  0.500  0.195 x2
Si  0.404  0.000  0.104 x2
Si  0.435  0.000  0.876 x2
Si  0.493  0.000  0.745 x2